# 1
DFT (PBE) results for a geometry-optimized HgPbCl2 structure.

Cell and atoms, written as CIF:
```
data_HgPbCl2
_space_group_name_H-M_alt 'C 1 m 1'
_space_group_IT_number 8
_cell_length_a 10.0034
_cell_length_b 4.0192
_cell_length_c 7.6376
_cell_angle_alpha 90.00
_cell_angle_beta 110.31
_cell_angle_gamma 90.00
loop_
_space_group_symop_operation_xyz
'x,y,z'
'x,-y,z'
'x+1/2,y+1/2,z'
'x+1/2,-y+1/2,z'
loop_
_atom_site_label
_atom_site_fract_x
_atom_site_fract_y
_atom_site_fract_z
_atom_site_occupancy
Hg1 0.0000 0.0000 0.0000 1
Pb1 0.3286 0.0000 0.5962 1
Cl1 0.1301 0.5000 0.6727 1
Cl2 0.3045 0.5000 0.3329 1
```

Its excess energy over the best structure of this formula in the dataset is 0.051 eV/atom. Its total magnetic moment is 0.00 μB/f.u. The uncorrected formation energy is -0.77 eV/atom. As for the crystal system: monoclinic.

# 2
DFT (PBE) results for a geometry-optimized Hg5Pb3Cl16 structure.

Cell and atoms, written as CIF:
```
data_Hg5Pb3Cl16
_space_group_name_H-M_alt 'C 1 m 1'
_space_group_IT_number 8
_cell_length_a 14.2407
_cell_length_b 8.4929
_cell_length_c 12.6529
_cell_angle_alpha 90.00
_cell_angle_beta 94.80
_cell_angle_gamma 90.00
loop_
_space_group_symop_operation_xyz
'x,y,z'
'x,-y,z'
'x+1/2,y+1/2,z'
'x+1/2,-y+1/2,z'
loop_
_atom_site_label
_atom_site_fract_x
_atom_site_fract_y
_atom_site_fract_z
_atom_site_occupancy
Hg1 0.0000 0.0000 0.0000 1
Hg2 0.0106 0.5000 0.2336 1
Hg3 0.0724 0.2448 0.5105 1
Hg4 0.3360 0.5000 0.7220 1
Pb1 0.2486 0.2560 0.9986 1
Pb2 0.3330 0.0000 0.5064 1
Cl1 0.0153 0.5000 0.6235 1
Cl2 0.0831 0.2386 0.1121 1
Cl3 0.1425 0.0000 0.3996 1
Cl4 0.1456 0.5000 0.3620 1
Cl5 0.1528 0.0000 0.8808 1
Cl6 0.1743 0.5000 0.8692 1
Cl7 0.2393 0.2664 0.6168 1
Cl8 0.3503 0.5000 0.1217 1
Cl9 0.3591 0.0000 0.1287 1
Cl10 0.4062 0.2853 0.8625 1
Cl11 0.4213 0.2304 0.3840 1
Cl12 0.4972 0.5000 0.6235 1
```

Its total magnetic moment is 0.00 μB/f.u. The uncorrected formation energy is -0.76 eV/atom. As for the crystal system: monoclinic.

# 3
DFT (PBE) results for a geometry-optimized HgPb2Cl8 structure.

Cell and atoms, written as CIF:
```
data_HgPb2Cl8
_space_group_name_H-M_alt 'C 1 2/m 1'
_space_group_IT_number 12
_cell_length_a 13.5755
_cell_length_b 9.3723
_cell_length_c 5.9485
_cell_angle_alpha 90.00
_cell_angle_beta 109.44
_cell_angle_gamma 90.00
loop_
_space_group_symop_operation_xyz
'x,y,z'
'-x,-y,-z'
'-x,y,-z'
'x,-y,z'
'x+1/2,y+1/2,z'
'-x+1/2,-y+1/2,-z'
'-x+1/2,y+1/2,-z'
'x+1/2,-y+1/2,z'
loop_
_atom_site_label
_atom_site_fract_x
_atom_site_fract_y
_atom_site_fract_z
_atom_site_occupancy
Hg1 0.0000 0.0000 0.0000 1
Pb1 0.2461 0.5000 0.4670 1
Cl1 0.0696 0.5000 0.9678 1
Cl2 0.0980 0.1918 0.3379 1
Cl3 0.2030 0.0000 0.9421 1
```

Its total magnetic moment is 0.00 μB/f.u. The uncorrected formation energy is -0.71 eV/atom. As for the crystal system: monoclinic.

# 4
DFT (PBE) results for a geometry-optimized HgPbCl structure.

Cell and atoms, written as CIF:
```
data_HgPbCl
_space_group_name_H-M_alt 'P 3 m 1'
_space_group_IT_number 156
_cell_length_a 5.2925
_cell_length_b 5.2925
_cell_length_c 3.4650
_cell_angle_alpha 90.00
_cell_angle_beta 90.00
_cell_angle_gamma 120.00
loop_
_space_group_symop_operation_xyz
'x,y,z'
'-y,x-y,z'
'-x+y,-x,z'
'-y,-x,z'
'-x+y,y,z'
'x,x-y,z'
loop_
_atom_site_label
_atom_site_fract_x
_atom_site_fract_y
_atom_site_fract_z
_atom_site_occupancy
Hg1 0.0000 0.0000 0.0000 1
Pb1 0.6667 0.3333 0.4089 1
Cl1 0.3333 0.6667 0.4832 1
```

Its excess energy over the best structure of this formula in the dataset is 0.009 eV/atom. Its total magnetic moment is 0.00 μB/f.u. The uncorrected formation energy is -0.35 eV/atom. As for the crystal system: trigonal.

# 5
DFT (PBE) results for a geometry-optimized HgPbCl2 structure.

Cell and atoms, written as CIF:
```
data_HgPbCl2
_space_group_name_H-M_alt 'P m m m'
_space_group_IT_number 47
_cell_length_a 4.2482
_cell_length_b 4.9770
_cell_length_c 4.9882
_cell_angle_alpha 90.00
_cell_angle_beta 90.00
_cell_angle_gamma 90.00
loop_
_space_group_symop_operation_xyz
'x,y,z'
'-x,-y,-z'
'-x,-y,z'
'x,y,-z'
'x,-y,-z'
'-x,y,z'
'-x,y,-z'
'x,-y,z'
loop_
_atom_site_label
_atom_site_fract_x
_atom_site_fract_y
_atom_site_fract_z
_atom_site_occupancy
Hg1 0.0000 0.0000 0.0000 1
Pb1 0.0000 0.5000 0.5000 1
Cl1 0.5000 0.0000 0.5000 1
Cl2 0.5000 0.5000 0.0000 1
```

Its excess energy over the best structure of this formula in the dataset is 0.276 eV/atom. Its total magnetic moment is 0.00 μB/f.u. The uncorrected formation energy is -0.54 eV/atom. As for the crystal system: orthorhombic.

# 6
DFT (PBE) results for a geometry-optimized HgPb4Cl2 structure.

Cell and atoms, written as CIF:
```
data_HgPb4Cl2
_space_group_name_H-M_alt 'I 4/m m m'
_space_group_IT_number 139
_space_group_name_Hall '-I 4 2'
_cell_length_a 5.6829
_cell_length_b 5.6829
_cell_length_c 15.4040
_cell_angle_alpha 90.00
_cell_angle_beta 90.00
_cell_angle_gamma 90.00
loop_
_atom_site_label
_atom_site_fract_x
_atom_site_fract_y
_atom_site_fract_z
_atom_site_occupancy
Hg1 0.0000 0.0000 0.0000 1
Pb1 0.0000 0.0000 0.2142 1
Pb2 0.0000 0.5000 0.0000 1
Cl1 0.0000 0.0000 0.4005 1
```

Its total magnetic moment is 0.00 μB/f.u. The uncorrected formation energy is 0.02 eV/atom. As for the crystal system: tetragonal.

# 7
DFT (PBE) results for a geometry-optimized HgPbCl2 structure.

Cell and atoms, written as CIF:
```
data_HgPbCl2
_space_group_name_H-M_alt 'P 4 m m'
_space_group_IT_number 99
_cell_length_a 4.2736
_cell_length_b 4.2736
_cell_length_c 8.8806
_cell_angle_alpha 90.00
_cell_angle_beta 90.00
_cell_angle_gamma 90.00
loop_
_space_group_symop_operation_xyz
'x,y,z'
'-y,x,z'
'-x,-y,z'
'y,-x,z'
'-x,y,z'
'y,x,z'
'x,-y,z'
'-y,-x,z'
loop_
_atom_site_label
_atom_site_fract_x
_atom_site_fract_y
_atom_site_fract_z
_atom_site_occupancy
Hg1 0.0000 0.0000 0.0000 1
Pb1 0.5000 0.5000 0.4541 1
Cl1 0.0000 0.0000 0.4372 1
Cl2 0.5000 0.5000 0.7329 1
```

Its excess energy over the best structure of this formula in the dataset is 0.121 eV/atom. Its total magnetic moment is 0.00 μB/f.u. The uncorrected formation energy is -0.70 eV/atom. As for the crystal system: tetragonal.

# 8
DFT (PBE) results for a geometry-optimized HgPb3Cl structure.

Cell and atoms, written as CIF:
```
data_HgPb3Cl
_space_group_name_H-M_alt 'P m -3 m'
_space_group_IT_number 221
_space_group_name_Hall '-P 4 2 3'
_cell_length_a 5.8230
_cell_length_b 5.8230
_cell_length_c 5.8230
_cell_angle_alpha 90.00
_cell_angle_beta 90.00
_cell_angle_gamma 90.00
loop_
_atom_site_label
_atom_site_fract_x
_atom_site_fract_y
_atom_site_fract_z
_atom_site_occupancy
Hg1 0.0000 0.0000 0.0000 1
Pb1 0.0000 0.0000 0.5000 1
Cl1 0.5000 0.5000 0.5000 1
```

Its excess energy over the best structure of this formula in the dataset is 0.038 eV/atom. Its total magnetic moment is 0.00 μB/f.u. The uncorrected formation energy is 0.30 eV/atom. As for the crystal system: cubic.

# 9
DFT (PBE) results for a geometry-optimized Hg2Pb2Cl structure.

Cell and atoms, written as CIF:
```
data_Hg2Pb2Cl
_space_group_name_H-M_alt 'P 4/m b m'
_space_group_IT_number 127
_space_group_name_Hall '-P 4 2ab'
_cell_length_a 8.7330
_cell_length_b 8.7330
_cell_length_c 3.7888
_cell_angle_alpha 90.00
_cell_angle_beta 90.00
_cell_angle_gamma 90.00
loop_
_atom_site_label
_atom_site_fract_x
_atom_site_fract_y
_atom_site_fract_z
_atom_site_occupancy
Hg1 0.1227 0.3773 0.0000 1
Pb1 0.1836 0.6836 0.5000 1
Cl1 0.0000 0.0000 0.0000 1
```

Its excess energy over the best structure of this formula in the dataset is 0.098 eV/atom. Its total magnetic moment is 0.00 μB/f.u. The uncorrected formation energy is -0.11 eV/atom. As for the crystal system: tetragonal.

# 10
DFT (PBE) results for a geometry-optimized HgPb4Cl8 structure.

Cell and atoms, written as CIF:
```
data_HgPb4Cl8
_space_group_name_H-M_alt 'C 1 m 1'
_space_group_IT_number 8
_cell_length_a 20.7679
_cell_length_b 4.3959
_cell_length_c 14.1763
_cell_angle_alpha 90.00
_cell_angle_beta 131.12
_cell_angle_gamma 90.00
loop_
_space_group_symop_operation_xyz
'x,y,z'
'x,-y,z'
'x+1/2,y+1/2,z'
'x+1/2,-y+1/2,z'
loop_
_atom_site_label
_atom_site_fract_x
_atom_site_fract_y
_atom_site_fract_z
_atom_site_occupancy
Hg1 0.0000 0.0000 0.0000 1
Pb1 0.1441 0.0000 0.4646 1
Pb2 0.1598 0.5000 0.8213 1
Pb3 0.3396 0.0000 0.1767 1
Pb4 0.3552 0.5000 0.5334 1
Cl1 0.0408 0.0000 0.7428 1
Cl2 0.1353 0.5000 0.5920 1
Cl3 0.1691 0.5000 0.3541 1
Cl4 0.2158 0.5000 0.0710 1
Cl5 0.2837 0.0000 0.9271 1
Cl6 0.3303 0.0000 0.6440 1
Cl7 0.3639 0.0000 0.4058 1
Cl8 0.4586 0.5000 0.2550 1
```

Its total magnetic moment is 0.00 μB/f.u. The uncorrected formation energy is -1.05 eV/atom. As for the crystal system: monoclinic.